(1)
# Si2NiBr

An optimized crystal structure of Si2NiBr (PBE-GGA, Alexandria via LeMat-Bulk).

Computed properties:
- VASP energy: -4.3333 eV/atom
- Energy above the most stable polymorph in this dataset: 203.7 meV/atom
- M_tot: 0.000 μB/cell
- Energy relative to the elements, uncorrected: 0.967 eV per formula unit

Cell lengths 5.579, 5.579, 7.055 Å; angles 66.71, 66.71, 90.00 degrees
Fractional positions:
Si: 0.875 0.759 0.750
Si: 0.509 0.125 0.250
Si: 0.375 0.491 0.750
Si: 0.241 0.625 0.250
Br: 0.000 0.000 0.000
Br: 0.750 0.250 0.500
Ni: 0.500 0.500 0.000
Ni: 0.250 0.750 0.500



(2)
# SiNiBr

An optimized crystal structure of SiNiBr (PBE-GGA, Alexandria via LeMat-Bulk).

Computed properties:
- VASP energy: -4.3555 eV/atom
- Energy above the most stable polymorph in this dataset: 0.0 meV/atom
- M_tot: 0.000 μB/cell
- Energy relative to the elements, uncorrected: -0.189 eV per formula unit

Cell lengths 6.024, 6.024, 6.024 Å; angles 149.73, 149.73, 43.34 degrees
Fractional positions:
Ni: 0.219 0.219 0.000
Si: 0.788 0.788 0.000
Br: 0.994 0.994 0.000



(3)
# Si2NiBr

An optimized crystal structure of Si2NiBr (PBE-GGA, Alexandria via LeMat-Bulk).

Computed properties:
- VASP energy: -3.7532 eV/atom
- Energy above the most stable polymorph in this dataset: 783.7 meV/atom
- M_tot: 0.000 μB/cell
- Energy relative to the elements, uncorrected: 3.287 eV per formula unit

Cell lengths 4.552, 4.552, 4.552 Å; angles 60.00, 60.00, 60.00 degrees
Fractional positions:
Si: 0.750 0.750 0.750
Si: 0.250 0.250 0.250
Br: 0.500 0.500 0.500
Ni: 0.000 0.000 0.000



(4)
# Si2NiBr

An optimized crystal structure of Si2NiBr (PBE-GGA, Alexandria via LeMat-Bulk).

Computed properties:
- VASP energy: -4.2815 eV/atom
- Energy above the most stable polymorph in this dataset: 255.5 meV/atom
- M_tot: 0.000 μB/cell
- Energy relative to the elements, uncorrected: 1.174 eV per formula unit

Cell lengths 3.065, 3.066, 6.899 Å; angles 90.00, 90.00, 90.00 degrees
Fractional positions:
Si: 0.000 0.000 0.940
Si: 0.000 0.000 0.560
Br: 0.500 0.500 0.250
Ni: 0.500 0.500 0.750



(5)
# SiNiBr2

An optimized crystal structure of SiNiBr2 (PBE-GGA, Alexandria via LeMat-Bulk).

Computed properties:
- VASP energy: -3.5466 eV/atom
- Energy above the most stable polymorph in this dataset: 235.3 meV/atom
- M_tot: 0.000 μB/cell
- Energy relative to the elements, uncorrected: 0.364 eV per formula unit

Cell lengths 3.769, 3.769, 8.699 Å; angles 90.00, 90.00, 124.61 degrees
Fractional positions:
Ni: 0.000 0.000 0.538
Br: 0.000 0.000 0.923
Br: 0.500 0.500 0.347
Si: 0.500 0.500 0.692



(6)
# Si2NiBr

An optimized crystal structure of Si2NiBr (PBE-GGA, Alexandria via LeMat-Bulk).

Computed properties:
- VASP energy: -3.8291 eV/atom
- Energy above the most stable polymorph in this dataset: 707.8 meV/atom
- M_tot: 0.000 μB/cell
- Energy relative to the elements, uncorrected: 2.984 eV per formula unit

Cell lengths 4.508, 4.508, 4.508 Å; angles 60.00, 60.00, 60.00 degrees
Fractional positions:
Ni: 0.750 0.750 0.750
Br: 0.500 0.500 0.500
Si: 0.250 0.250 0.250
Si: 0.000 0.000 0.000



(7)
# SiNiBr2

An optimized crystal structure of SiNiBr2 (PBE-GGA, Alexandria via LeMat-Bulk).

Computed properties:
- VASP energy: -3.0667 eV/atom
- Energy above the most stable polymorph in this dataset: 715.1 meV/atom
- M_tot: 0.000 μB/cell
- Energy relative to the elements, uncorrected: 2.283 eV per formula unit

Cell lengths 6.748, 6.748, 6.748 Å; angles 147.82, 147.82, 46.15 degrees
Fractional positions:
Br: 0.250 0.750 0.500
Br: 0.000 0.000 0.000
Si: 0.750 0.250 0.500
Ni: 0.500 0.500 0.000



(8)
# Si2NiBr

An optimized crystal structure of Si2NiBr (PBE-GGA, Alexandria via LeMat-Bulk).

Computed properties:
- VASP energy: -4.4680 eV/atom
- Energy above the most stable polymorph in this dataset: 68.9 meV/atom
- M_tot: 0.000 μB/cell
- Energy relative to the elements, uncorrected: 0.428 eV per formula unit

Cell lengths 3.993, 3.993, 7.240 Å; angles 62.30, 62.30, 51.51 degrees
Fractional positions:
Br: 0.559 0.559 0.447
Si: 0.979 0.979 0.020
Si: 0.760 0.760 0.871
Ni: 0.201 0.201 0.161



(9)
# Si2NiBr

An optimized crystal structure of Si2NiBr (PBE-GGA, Alexandria via LeMat-Bulk).

Computed properties:
- VASP energy: -3.9008 eV/atom
- Energy above the most stable polymorph in this dataset: 636.2 meV/atom
- M_tot: 0.000 μB/cell
- Energy relative to the elements, uncorrected: 2.697 eV per formula unit

Cell lengths 4.732, 4.732, 2.907 Å; angles 90.00, 90.00, 90.00 degrees
Fractional positions:
Ni: 0.000 0.500 0.500
Br: 0.500 0.000 0.500
Si: 0.500 0.500 0.000
Si: 0.000 0.000 0.000



(10)
# Si2NiBr

An optimized crystal structure of Si2NiBr (PBE-GGA, Alexandria via LeMat-Bulk).

Computed properties:
- VASP energy: -3.9487 eV/atom
- Energy above the most stable polymorph in this dataset: 588.2 meV/atom
- M_tot: 0.000 μB/cell
- Energy relative to the elements, uncorrected: 2.505 eV per formula unit

Cell lengths 3.006, 4.311, 4.992 Å; angles 90.00, 90.00, 90.00 degrees
Fractional positions:
Br: 0.500 0.000 0.500
Si: 0.500 0.500 0.000
Si: 0.000 0.000 0.000
Ni: 0.000 0.500 0.500



(11)
# Si2NiBr

An optimized crystal structure of Si2NiBr (PBE-GGA, Alexandria via LeMat-Bulk).

Computed properties:
- VASP energy: -4.5369 eV/atom
- Energy above the most stable polymorph in this dataset: 0.0 meV/atom
- M_tot: 0.000 μB/cell
- Energy relative to the elements, uncorrected: 0.153 eV per formula unit

Cell lengths 6.349, 6.349, 6.349 Å; angles 34.73, 34.73, 34.73 degrees
Fractional positions:
Si: 0.458 0.458 0.458
Si: 0.042 0.042 0.042
Ni: 0.750 0.750 0.750
Br: 0.250 0.250 0.250



(12)
# SiNiBr2

An optimized crystal structure of SiNiBr2 (PBE-GGA, Alexandria via LeMat-Bulk).

Computed properties:
- VASP energy: -3.5909 eV/atom
- Energy above the most stable polymorph in this dataset: 190.9 meV/atom
- M_tot: 0.353 μB/cell
- Energy relative to the elements, uncorrected: 0.186 eV per formula unit

Cell lengths 8.008, 8.008, 3.466 Å; angles 78.55, 78.55, 25.14 degrees
Fractional positions:
Br: 0.112 0.112 0.877
Br: 0.388 0.388 0.623
Si: 0.250 0.250 0.250
Ni: 0.750 0.750 0.750



(13)
# SiNiBr

An optimized crystal structure of SiNiBr (PBE-GGA, Alexandria via LeMat-Bulk).

Computed properties:
- VASP energy: -4.2543 eV/atom
- Energy above the most stable polymorph in this dataset: 101.2 meV/atom
- M_tot: 0.000 μB/cell
- Energy relative to the elements, uncorrected: 0.114 eV per formula unit

Cell lengths 3.510, 3.510, 5.172 Å; angles 90.00, 90.00, 120.00 degrees
Fractional positions:
Br: 0.000 0.000 0.056
Ni: 0.667 0.333 0.370
Si: 0.333 0.667 0.574



(14)
# SiNiBr2

An optimized crystal structure of SiNiBr2 (PBE-GGA, Alexandria via LeMat-Bulk).

Computed properties:
- VASP energy: -3.2516 eV/atom
- Energy above the most stable polymorph in this dataset: 530.3 meV/atom
- M_tot: 0.855 μB/cell
- Energy relative to the elements, uncorrected: 1.544 eV per formula unit

Cell lengths 3.711, 3.393, 7.668 Å; angles 111.36, 90.00, 90.00 degrees
Fractional positions:
Si: 0.500 0.750 0.750
Ni: 0.500 0.250 0.250
Br: 0.000 0.897 0.033
Br: 0.000 0.603 0.467



(15)
# SiNiBr2

An optimized crystal structure of SiNiBr2 (PBE-GGA, Alexandria via LeMat-Bulk).

Computed properties:
- VASP energy: -3.0115 eV/atom
- Energy above the most stable polymorph in this dataset: 770.3 meV/atom
- M_tot: 0.429 μB/cell
- Energy relative to the elements, uncorrected: 2.504 eV per formula unit

Cell lengths 4.779, 4.779, 3.396 Å; angles 90.00, 90.00, 90.00 degrees
Fractional positions:
Br: 0.000 0.000 0.000
Br: 0.500 0.500 0.000
Ni: 0.500 0.000 0.500
Si: 0.000 0.500 0.500



(16)
# SiNiBr2

An optimized crystal structure of SiNiBr2 (PBE-GGA, Alexandria via LeMat-Bulk).

Computed properties:
- VASP energy: -3.6917 eV/atom
- Energy above the most stable polymorph in this dataset: 90.2 meV/atom
- M_tot: 0.000 μB/cell
- Energy relative to the elements, uncorrected: -0.217 eV per formula unit

Cell lengths 3.448, 3.565, 7.801 Å; angles 78.01, 90.00, 90.00 degrees
Fractional positions:
Br: 0.500 0.326 0.351
Br: 0.000 0.045 0.905
Ni: 0.000 0.312 0.607
Si: 0.500 0.817 0.637



(17)
# SiNiBr2

An optimized crystal structure of SiNiBr2 (PBE-GGA, Alexandria via LeMat-Bulk).

Computed properties:
- VASP energy: -3.2012 eV/atom
- Energy above the most stable polymorph in this dataset: 580.7 meV/atom
- M_tot: 0.000 μB/cell
- Energy relative to the elements, uncorrected: 1.745 eV per formula unit

Cell lengths 6.364, 6.364, 6.715 Å; angles 61.72, 61.72, 90.00 degrees
Fractional positions:
Ni: 0.000 0.000 0.000
Ni: 0.750 0.250 0.500
Br: 0.375 0.322 0.750
Br: 0.875 0.928 0.750
Br: 0.072 0.625 0.250
Br: 0.678 0.125 0.250
Si: 0.500 0.500 0.000
Si: 0.250 0.750 0.500



(18)
# SiNiBr2

An optimized crystal structure of SiNiBr2 (PBE-GGA, Alexandria via LeMat-Bulk).

Computed properties:
- VASP energy: -2.8555 eV/atom
- Energy above the most stable polymorph in this dataset: 926.4 meV/atom
- M_tot: 0.079 μB/cell
- Energy relative to the elements, uncorrected: 3.128 eV per formula unit

Cell lengths 4.818, 4.818, 4.818 Å; angles 60.00, 60.00, 60.00 degrees
Fractional positions:
Br: 0.000 0.000 0.000
Br: 0.750 0.750 0.750
Ni: 0.500 0.500 0.500
Si: 0.250 0.250 0.250



(19)
# Si2NiBr

An optimized crystal structure of Si2NiBr (PBE-GGA, Alexandria via LeMat-Bulk).

Computed properties:
- VASP energy: -4.3677 eV/atom
- Energy above the most stable polymorph in this dataset: 169.3 meV/atom
- M_tot: 0.000 μB/cell
- Energy relative to the elements, uncorrected: 0.830 eV per formula unit

Cell lengths 4.174, 4.289, 4.290 Å; angles 67.12, 90.00, 90.00 degrees
Fractional positions:
Si: 0.000 0.577 0.577
Si: 0.000 0.923 0.923
Ni: 0.500 0.750 0.750
Br: 0.500 0.250 0.250



(20)
# Si2NiBr

An optimized crystal structure of Si2NiBr (PBE-GGA, Alexandria via LeMat-Bulk).

Computed properties:
- VASP energy: -4.1296 eV/atom
- Energy above the most stable polymorph in this dataset: 407.4 meV/atom
- M_tot: 0.000 μB/cell
- Energy relative to the elements, uncorrected: 1.782 eV per formula unit

Cell lengths 4.433, 4.433, 4.432 Å; angles 71.00, 71.00, 110.50 degrees
Fractional positions:
Ni: 0.000 0.500 0.500
Si: 0.000 0.000 0.000
Si: 0.500 0.500 0.000
Br: 0.500 0.000 0.500